Run one
The following is a DFT calculation (PBE with a Hubbard U) of a geometry-optimized VTcPO2 structure. Values from VASP.

```
&SYSTEM
  ibrav = 0, nat = 5, ntyp = 4
/
ATOMIC_SPECIES
P 30.97 P.upf
Tc 98.00 Tc.upf
O 16.00 O.upf
V 50.94 V.upf
CELL_PARAMETERS angstrom
-2.049 0.665 -3.086
0.649 -3.512 -1.187
-4.358 -1.663 2.536
ATOMIC_POSITIONS crystal
P 0.000 0.000 0.500
Tc 0.000 0.000 0.000
O 0.000 0.500 0.000
O 0.500 0.000 0.000
V 0.500 0.500 0.500
```

Density of states at the Fermi level = 2.49 states/eV per cell

=====

Run two
The following is a DFT calculation (PBE with a Hubbard U) of a geometry-optimized VTcPO2 structure. Values from VASP.

```
&SYSTEM
  ibrav = 0, nat = 5, ntyp = 4
/
ATOMIC_SPECIES
P 30.97 P.upf
Tc 98.00 Tc.upf
O 16.00 O.upf
V 50.94 V.upf
CELL_PARAMETERS angstrom
3.668 0.000 0.000
0.000 3.668 0.000
0.000 0.000 5.325
ATOMIC_POSITIONS crystal
P 0.000 0.000 0.500
Tc 0.500 0.500 0.500
O 0.000 0.500 0.000
O 0.500 0.000 0.000
V 0.000 0.000 0.000
```

Density of states at the Fermi level = 1.79 states/eV per cell

=====

Relative energies, eV/atom: run one 0.000; run two 0.108.

=====

Run one
The following is a DFT calculation (PBE with a Hubbard U) of a geometry-optimized VTcP2O structure. Values from VASP.

```
&SYSTEM
  ibrav = 0, nat = 5, ntyp = 4
/
ATOMIC_SPECIES
P 30.97 P.upf
Tc 98.00 Tc.upf
O 16.00 O.upf
V 50.94 V.upf
CELL_PARAMETERS angstrom
-2.739 -1.316 3.658
3.886 -1.069 2.525
0.092 3.308 1.259
ATOMIC_POSITIONS crystal
P 0.000 0.500 0.000
P 0.500 0.000 0.000
Tc 0.500 0.500 0.500
O 0.000 0.000 0.500
V 0.000 0.000 0.000
```

Density of states at the Fermi level = 2.96 states/eV per cell

=====

Run two
The following is a DFT calculation (PBE with a Hubbard U) of a geometry-optimized VTcP2O structure. Values from VASP.

```
&SYSTEM
  ibrav = 0, nat = 5, ntyp = 4
/
ATOMIC_SPECIES
P 30.97 P.upf
Tc 98.00 Tc.upf
O 16.00 O.upf
V 50.94 V.upf
CELL_PARAMETERS angstrom
-2.899 1.321 3.567
0.489 -4.318 1.997
2.898 1.211 1.907
ATOMIC_POSITIONS crystal
P 0.000 0.500 0.000
P 0.500 0.000 0.000
Tc 0.000 0.000 0.000
O 0.000 0.000 0.500
V 0.500 0.500 0.500
```

Density of states at the Fermi level = 3.62 states/eV per cell

=====

Relative energies, eV/atom: run one 0.000; run two 0.072.

=====

Run one
The following is a DFT calculation (PBE with a Hubbard U) of a geometry-optimized TcPWO2 structure. Values from VASP.

```
&SYSTEM
  ibrav = 0, nat = 5, ntyp = 4
/
ATOMIC_SPECIES
O 16.00 O.upf
P 30.97 P.upf
Tc 98.00 Tc.upf
W 183.84 W.upf
CELL_PARAMETERS angstrom
-0.614 -0.227 -3.694
-0.032 -3.744 0.235
-5.430 0.102 0.896
ATOMIC_POSITIONS crystal
O 0.000 0.500 0.000
O 0.500 0.000 0.000
P 0.000 0.000 0.500
Tc 0.000 0.000 0.000
W 0.500 0.500 0.500
```

Density of states at the Fermi level = 1.21 states/eV per cell

=====

Run two
The following is a DFT calculation (PBE with a Hubbard U) of a geometry-optimized TcPWO2 structure. Values from VASP.

```
&SYSTEM
  ibrav = 0, nat = 5, ntyp = 4
/
ATOMIC_SPECIES
O 16.00 O.upf
P 30.97 P.upf
Tc 98.00 Tc.upf
W 183.84 W.upf
CELL_PARAMETERS angstrom
-2.243 0.665 -3.021
-0.081 -3.743 -0.764
-4.406 -0.548 3.150
ATOMIC_POSITIONS crystal
O 0.000 0.500 0.000
O 0.500 0.000 0.000
P 0.000 0.000 0.500
Tc 0.500 0.500 0.500
W 0.000 0.000 0.000
```

Density of states at the Fermi level = 2.49 states/eV per cell

=====

Relative energies, eV/atom: run one 0.071; run two 0.000.